DFT (GGA-PBEsol) results for a relaxed structure of InSb3P6O24.

a = 8.4236 Å, b = 8.6944 Å, c = 11.8824 Å
α = 90.00°, β = 91.06°, γ = 90.00°
Element x y z (fractional)
1 O 0.0741 0.3683 0.3882
2 Sb 0.2517 0.2167 0.3854
3 In 0.7486 0.2800 0.6212
4 O 0.6204 0.1475 0.9863
5 O 0.6791 0.9223 0.4399
6 O 0.1865 0.9747 0.6905
7 P 0.8928 0.6369 0.6549
8 O 0.2223 0.7860 0.2926
9 O 0.5510 0.6195 0.4262
10 P 0.1023 0.8755 0.3573
11 P 0.3935 0.6310 0.8540
12 O 0.3504 0.4637 0.8175
13 Sb 0.2492 0.2807 0.8848
14 P 0.6023 0.1245 0.8573
15 O 0.4294 0.1675 0.8237
16 O 0.7223 0.2140 0.7926
17 O 0.0765 0.8820 0.0767
18 P 0.3928 0.3631 0.1549
19 O 0.1204 0.8525 0.4863
20 O 0.2850 0.2516 0.2229
21 O 0.1047 0.0532 0.3367
22 O 0.5741 0.6317 0.8882
23 O 0.8582 0.6710 0.5291
24 Sb 0.7517 0.7833 0.8854
25 P 0.1184 0.1302 0.6446
26 O 0.9267 0.9393 0.8914
27 O 0.8031 0.4147 0.0394
28 P 0.0302 0.0020 0.9923
29 O 0.4072 0.3783 0.4175
30 O 0.2873 0.6854 0.9456
31 In 0.2486 0.7200 0.1212
32 O 0.9072 0.6217 0.9175
33 O 0.9463 0.1232 0.6085
34 O 0.3031 0.5853 0.5394
35 Sb 0.7492 0.7193 0.3848
36 O 0.5570 0.4483 0.6014
37 O 0.8504 0.5363 0.3175
38 O 0.3826 0.7320 0.7467
39 O 0.4463 0.8768 0.1085
40 O 0.0687 0.6799 0.6829
41 O 0.5687 0.3201 0.1829
42 O 0.4267 0.0607 0.3914
43 P 0.4602 0.5053 0.5026
44 O 0.5765 0.1180 0.5767
45 O 0.9294 0.8325 0.3237
46 Sb 0.7501 0.2186 0.1151
47 O 0.1399 0.2503 0.7399
48 O 0.8740 0.4702 0.6841
49 O 0.4428 0.8652 0.5516
50 O 0.3740 0.5298 0.1841
51 P 0.6184 0.8698 0.1446
52 P 0.9602 0.4947 0.0026
53 O 0.6865 0.0253 0.1905
54 O 0.9428 0.1348 0.0516
55 O 0.0510 0.3805 0.9262
56 P 0.8935 0.3690 0.3540
57 O 0.8826 0.2680 0.2467
58 O 0.0570 0.5517 0.1014
59 Sb 0.2501 0.7814 0.6151
60 O 0.7850 0.7484 0.7229
61 O 0.1791 0.0777 0.9399
62 O 0.7300 0.8173 0.0487
63 O 0.6399 0.7497 0.2399
64 P 0.5302 0.9980 0.4923
65 O 0.3582 0.3290 0.0291
66 O 0.6047 0.9468 0.8367
67 O 0.2300 0.1827 0.5487
68 O 0.7873 0.3146 0.4456

Output
* uncorrected energy: -485.0 eV per cell